A plane-wave DFT calculation with GGA+U was carried out for Li2FeCSO7 after structural relaxation.

Properties
The total energy comes out at -77.43 eV per formula unit. For the density of states at the Fermi level, the calculation gives 0.00 states/eV per cell. Its space group is P2_1/m.

Cell lengths 9.242, 6.422, 4.963 Å; angles 90.00, 82.16, 89.99 degrees
Last column: magnetic moment on the atom in μB.
Positions (direct):
1 Li 0.830 0.484 0.791  0.00
2 Li 0.830 0.016 0.791  0.00
3 Li 0.170 0.516 0.209  0.00
4 Li 0.170 0.984 0.209  0.00
5 O 0.119 0.750 0.961  0.04
6 O 0.683 0.565 0.143  0.02
7 O 0.566 0.750 0.544  0.02
8 O 0.881 0.250 0.039  0.04
9 O 0.061 0.250 0.308  0.01
10 O 0.317 0.065 0.857  0.02
11 O 0.939 0.750 0.692  0.01
12 O 0.683 0.935 0.143  0.02
13 O 0.822 0.250 0.491  0.03
14 O 0.451 0.750 0.136  0.02
15 O 0.549 0.250 0.864  0.02
16 O 0.178 0.750 0.509  0.03
17 O 0.317 0.436 0.857  0.02
18 O 0.434 0.250 0.456  0.02
19 C 0.074 0.750 0.721  0.00
20 C 0.926 0.250 0.279  0.00
21 S 0.407 0.250 0.760  0.01
22 S 0.593 0.750 0.240  0.01
23 Fe 0.646 0.250 0.238  3.81
24 Fe 0.354 0.750 0.762  3.81